LaSn2Pd4: relaxed, PBE-GGA. Values from VASP.

Computed properties:
Energy relative to the lowest polymorph listed for this composition (eV per atom): 0.000
N(E_F) (states/eV/cell): 11.3
Calculated density (Mg/m³): 9.49
E_form (meV/atom): -712
Space-group type: Pnma, No. 62

Geometry as Quantum ESPRESSO input:
```
&SYSTEM
  ibrav = 0, nat = 28, ntyp = 3
/
ATOMIC_SPECIES
Pd 106.42 Pd.upf
Sn 118.71 Sn.upf
La 138.91 La.upf
CELL_PARAMETERS angstrom
-1.196 -3.104 -3.228
-1.604 -4.702 5.116
-15.962 5.806 0.332
ATOMIC_POSITIONS angstrom
Pd -14.044 0.641 -0.404
Pd -12.996 -0.613 3.741
Pd -3.054 -0.147 -0.391
Pd -3.331 -6.575 2.565
Pd -8.159 -0.407 1.751
Pd -4.718 -2.641 2.624
Pd -11.611 1.069 1.611
Pd -17.413 0.391 1.085
Pd -5.765 -1.387 -1.521
Pd -15.431 4.575 -0.346
Pd -9.842 -3.714 2.226
Pd -8.920 1.714 -0.006
Pd -1.349 -2.390 1.135
Pd -7.151 -3.069 0.609
Pd -15.707 -1.853 2.611
Pd -10.602 -1.593 0.469
Sn -5.552 -0.716 1.082
Sn -10.366 -1.043 3.181
Sn -16.355 2.008 -0.862
Sn -2.406 -4.008 3.082
Sn -5.550 -5.129 1.997
Sn -13.210 -1.284 1.138
Sn -13.211 3.129 0.223
Sn -8.395 -0.957 -0.961
La -15.002 1.346 2.601
La -11.292 0.869 -1.643
La -7.469 -2.869 3.863
La -3.759 -3.346 -0.381
```